Below is crystalline KAg2Pt at its relaxed geometry, with properties calculated at the PBE level.

Results
- Formation energy from the elements: 0.2634 eV/atom
- Volume: 31.4 Å³/atom
- DOS at the Fermi energy: 0.200 states/eV/atom
- Space group: I-42d (122)

Unit cell a=5.2138 b=5.2138 c=9.9447 alpha=74.80 beta=74.80 gamma=90.00
Last column: nearest neighbours and their distance in Å.
Positions (direct):
Ag: 0.8194 0.1250 0.2500  2 Pt 2.67, 2 Ag 2.67
Ag: 0.3750 0.1806 0.7500  2 Pt 2.67, 2 Ag 2.67
Ag: 0.9306 0.6250 0.2500  2 Pt 2.67, 2 Ag 2.67
Ag: 0.8750 0.0694 0.7500  2 Pt 2.67, 2 Ag 2.67
Pt: 0.7500 0.2500 0.5000  4 Ag 2.67
Pt: 0.0000 0.0000 0.0000  4 Ag 2.67
K: 0.2500 0.7500 0.5000  8 Ag 3.52-3.93, 4 Pt 3.69
K: 0.5000 0.5000 0.0000  8 Ag 3.52-3.93, 4 Pt 3.69

Below is crystalline KAgPt at its relaxed geometry, with properties calculated at the PBE level.

Results
- Formation energy from the elements: -0.1142 eV/atom
- Volume: 21.9 Å³/atom
- DOS at the Fermi energy: 0.217 states/eV/atom
- Space group: Imma (74)

Unit cell a=5.5717 b=5.7126 c=5.7126 alpha=61.46 beta=60.81 gamma=60.81
Last column: nearest neighbours and their distance in Å.
Positions (direct):
K: 0.1211 0.6289 0.6289  6 Ag 3.29-3.39, 6 Pt 3.31-3.40, 4 K 3.48-3.52
K: 0.8789 0.3711 0.3711  6 Ag 3.29-3.39, 6 Pt 3.31-3.40, 4 K 3.48-3.52
Ag: 0.5000 0.0000 0.5000  4 Pt 2.86, 2 Ag 2.92
Ag: 0.5000 0.5000 0.0000  4 Pt 2.86, 2 Ag 2.92
Pt: 0.0000 0.0000 0.0000  2 Pt 2.79, 4 Ag 2.86
Pt: 0.5000 0.0000 0.0000  2 Pt 2.79, 4 Ag 2.86

Below is crystalline KAg2Pt at its relaxed geometry, with properties calculated at the PBE level.

Results
- Formation energy from the elements: 0.1414 eV/atom
- Volume: 22.2 Å³/atom
- DOS at the Fermi energy: 0.223 states/eV/atom
- Space group: C2/m (12)

Unit cell a=5.0742 b=5.0742 c=6.2864 alpha=83.47 beta=83.47 gamma=33.56
Last column: nearest neighbours and their distance in Å.
Positions (direct):
K: 0.2500 0.2500 0.2500  2 K 2.93, 2 Ag 3.19
Pt: 0.7500 0.7500 0.7500  6 Ag 2.83-2.96, 2 Pt 2.93
Ag: 0.4838 0.4838 0.5652  4 Ag 2.80-2.93, 3 Pt 2.83-2.96
Ag: 0.0162 0.0162 0.9348  4 Ag 2.80-2.93, 3 Pt 2.83-2.96

Below is crystalline KAg2Pt at its relaxed geometry, with properties calculated at the PBE level.

Results
- Formation energy from the elements: 0.2883 eV/atom
- Volume: 20.7 Å³/atom
- DOS at the Fermi energy: 0.322 states/eV/atom
- Space group: I-4m2 (119)

Unit cell a=5.4161 b=5.4161 c=5.4161 alpha=133.28 beta=133.28 gamma=68.21
Last column: nearest neighbours and their distance in Å.
Positions (direct):
Ag: 0.0000 0.0000 0.0000  4 K 3.04, 4 Pt 3.10, 4 Ag 3.10
Ag: 0.2500 0.7500 0.5000  4 Pt 3.04, 4 K 3.10, 4 Ag 3.10
Pt: 0.7500 0.2500 0.5000  8 Ag 3.04-3.10, 4 K 3.10
K: 0.5000 0.5000 0.0000  8 Ag 3.04-3.10, 4 Pt 3.10

Below is crystalline KAg2Pt at its relaxed geometry, with properties calculated at the PBE level.

Results
- Formation energy from the elements: 0.1349 eV/atom
- Volume: 22.3 Å³/atom
- DOS at the Fermi energy: 0.259 states/eV/atom
- Space group: Immm (71)

Unit cell a=6.4508 b=6.4508 c=6.4508 alpha=154.21 beta=129.93 gamma=57.17
Last column: nearest neighbours and their distance in Å.
Positions (direct):
Pt: 0.2500 0.7500 0.5000  4 Ag 2.78, 2 Pt 2.88, 4 K 3.09
Ag: 0.0399 0.0399 0.0000  2 Pt 2.78, 2 Ag 2.88
Ag: 0.4601 0.4601 0.0000  2 Pt 2.78, 2 Ag 2.88
K: 0.7500 0.2500 0.5000  2 K 2.88, 4 Pt 3.09

Below is crystalline KAg2Pt2 at its relaxed geometry, with properties calculated at the PBE level.

Results
- Formation energy from the elements: 0.1739 eV/atom
- Volume: 22.9 Å³/atom
- DOS at the Fermi energy: 0.645 states/eV/atom
- Space group: I4/mmm (139)

Unit cell a=4.5824 b=4.5824 c=6.3516 alpha=68.85 beta=68.85 gamma=90.00
Last column: nearest neighbours and their distance in Å.
Positions (direct):
Ag: 0.2500 0.7500 0.5000  4 Pt 2.73
Ag: 0.7500 0.2500 0.5000  4 Pt 2.73
Pt: 0.3853 0.3853 0.2295  1 Pt 2.51, 4 Ag 2.73
Pt: 0.6147 0.6147 0.7705  1 Pt 2.51, 4 Ag 2.73
K: 0.0000 0.0000 0.0000  8 Pt 3.47, 8 Ag 3.57

Below is crystalline KAgSbPt at its relaxed geometry, with properties calculated at the PBE level.

Results
- Volume: 27.8 Å³/atom
- E_tot: -3.723 eV per atom
- DOS at the Fermi energy: 0.645 states/eV/atom
- Space group: P4/nmm (129)

Unit cell a=3.9987 b=3.9987 c=13.9068 alpha=90.00 beta=90.00 gamma=90.00
Last column: nearest neighbours and their distance in Å.
Positions (direct):
K: 0.7500 0.7500 0.2903  4 Ag 3.54, 4 Sb 3.59
K: 0.2500 0.2500 0.7097  4 Ag 3.54, 4 Sb 3.59
Pt: 0.7500 0.2500 0.0000  4 Sb 2.70, 4 Pt 2.83
Pt: 0.2500 0.7500 0.0000  4 Sb 2.70, 4 Pt 2.83
Ag: 0.2500 0.7500 0.5000  4 Ag 2.83
Ag: 0.7500 0.2500 0.5000  4 Ag 2.83
Sb: 0.2500 0.2500 0.1308  4 Pt 2.70
Sb: 0.7500 0.7500 0.8692  4 Pt 2.70

Below is crystalline K2AgSb3Pt4 at its relaxed geometry, with properties calculated at the PBE level.

Results
- Volume: 23.6 Å³/atom
- E_tot: -4.542 eV per atom
- DOS at the Fermi energy: 0.551 states/eV/atom
- Space group: P-4m2 (115)

Unit cell a=4.6915 b=4.6915 c=10.7215 alpha=90.00 beta=90.00 gamma=90.00
Last column: nearest neighbours and their distance in Å.
Positions (direct):
K: 0.0000 0.5000 0.7463  2 Ag 3.53, 6 Sb 3.53-3.59, 8 Pt 3.55-3.59
K: 0.5000 0.0000 0.2537  6 Sb 3.53-3.59, 2 Ag 3.53, 8 Pt 3.55-3.59
Ag: 0.5000 0.5000 0.5000  4 Pt 2.72
Pt: 0.0000 0.0000 0.0000  4 Sb 2.70
Pt: 0.5000 0.0000 0.6292  3 Sb 2.63-2.72, 2 Ag 2.72
Pt: 0.5000 0.5000 0.0000  4 Sb 2.70
Pt: 0.0000 0.5000 0.3708  3 Sb 2.63-2.72, 2 Ag 2.72
Sb: 0.0000 0.5000 0.1252  5 Pt 2.63-2.70
Sb: 0.5000 0.0000 0.8748  5 Pt 2.63-2.70
Sb: 0.0000 0.0000 0.5000  4 Pt 2.72

Below is crystalline K2AgSn4Pt3 at its relaxed geometry, with properties calculated at the PBE level.

Results
- Formation energy from the elements: -0.3957 eV/atom
- Volume: 24.8 Å³/atom
- DOS at the Fermi energy: 0.730 states/eV/atom
- Space group: P-4m2 (115)

Unit cell a=4.8510 b=4.8510 c=10.5276 alpha=90.00 beta=90.00 gamma=90.00
Last column: nearest neighbours and their distance in Å.
Positions (direct):
Ag: 0.5000 0.5000 0.5000  4 Sn 2.76
Pt: 0.5000 0.0000 0.8792  5 Sn 2.67-2.74
Pt: 0.0000 0.0000 0.5000  4 Sn 2.76
Pt: 0.0000 0.5000 0.1208  5 Sn 2.67-2.74
Sn: 0.0000 0.0000 0.0000  4 Pt 2.74
Sn: 0.5000 0.5000 0.0000  4 Pt 2.74
Sn: 0.5000 0.0000 0.6253  3 Pt 2.67-2.76, 2 Ag 2.76
Sn: 0.0000 0.5000 0.3747  3 Pt 2.67-2.76, 2 Ag 2.76
K: 0.5000 0.0000 0.2554  7 Pt 3.54-3.96, 2 Ag 3.54, 9 Sn 3.62-3.89
K: 0.0000 0.5000 0.7446  7 Pt 3.54-3.96, 2 Ag 3.54, 9 Sn 3.62-3.89

Below is crystalline KTl2AgPt at its relaxed geometry, with properties calculated at the PBE level.

Results
- Formation energy from the elements: -0.0586 eV/atom
- Volume: 30.7 Å³/atom
- DOS at the Fermi energy: 0.364 states/eV/atom
- Space group: P4/mmm (123)

Unit cell a=5.2917 b=5.2917 c=5.4820 alpha=90.00 beta=90.00 gamma=90.00
Last column: nearest neighbours and their distance in Å.
Positions (direct):
Tl: 0.0000 0.5000 0.0000  2 Pt 2.65
Tl: 0.5000 0.0000 0.0000  2 Pt 2.65
Pt: 0.0000 0.0000 0.0000  4 Tl 2.65, 2 Ag 2.74
K: 0.5000 0.5000 0.5000  4 Ag 3.74, 8 Tl 3.81
Ag: 0.0000 0.0000 0.5000  2 Pt 2.74

Below is crystalline KTl2AgPt at its relaxed geometry, with properties calculated at the PBE level.

Results
- Formation energy from the elements: 0.0833 eV/atom
- Volume: 34.4 Å³/atom
- DOS at the Fermi energy: 0.202 states/eV/atom
- Space group: P4/mmm (123)

Unit cell a=5.2979 b=5.2979 c=6.1196 alpha=90.00 beta=90.00 gamma=90.00
Last column: nearest neighbours and their distance in Å.
Positions (direct):
Tl: 0.5000 0.0000 0.0000  2 Pt 2.65
Tl: 0.0000 0.5000 0.0000  2 Pt 2.65
K: 0.0000 0.0000 0.5000  2 Pt 3.06
Pt: 0.0000 0.0000 0.0000  4 Tl 2.65
Ag: 0.5000 0.5000 0.5000  4 K 3.75, 8 Tl 4.05

Below is crystalline K2Tl6AgPt at its relaxed geometry, with properties calculated at the PBE level.

Results
- Formation energy from the elements: -0.0395 eV/atom
- Volume: 31.1 Å³/atom
- DOS at the Fermi energy: 0.654 states/eV/atom
- Space group: P-3m1 (164)

Unit cell a=5.9088 b=7.7911 c=7.7911 alpha=120.00 beta=90.00 gamma=90.00
Last column: nearest neighbours and their distance in Å.
Positions (direct):
Pt: 0.0000 0.0000 0.0000  6 Tl 2.86, 2 Ag 2.95
Tl: 0.2332 0.8141 0.6281  1 Pt 2.86, 1 Ag 2.96
Tl: 0.7668 0.1859 0.3719  1 Pt 2.86, 1 Ag 2.96
Tl: 0.2332 0.3719 0.1859  1 Pt 2.86, 1 Ag 2.96
Tl: 0.2332 0.8141 0.1859  1 Pt 2.86, 1 Ag 2.96
Tl: 0.7668 0.6281 0.8141  1 Pt 2.86, 1 Ag 2.96
Tl: 0.7668 0.1859 0.8141  1 Pt 2.86, 1 Ag 2.96
K: 0.2731 0.3333 0.6667  12 Tl 3.53-3.91
K: 0.7269 0.6667 0.3333  12 Tl 3.53-3.91
Ag: 0.5000 0.0000 0.0000  2 Pt 2.95, 6 Tl 2.96